No. 1
Here is a relaxed Cu3NiIr crystal from Alexandria. Energies are from PBE.

POSCAR file:
```
Cu3NiIr
1.0
4.604 0.000 0.000
0.000 4.604 0.000
0.000 0.000 4.604
Ni Cu Ir
1 3 1
direct
0.500 0.500 0.500
0.000 0.000 0.500
0.000 0.500 0.000
0.500 0.000 0.000
0.000 0.000 0.000
```

Values from the calculation:
ΔE_f in eV/atom: 1.4463

=====

No. 2
Here is a relaxed CuNi6Ir crystal from Alexandria. Energies are from PBE.

POSCAR file:
```
CuNi6Ir
1.0
4.234 -0.100 -1.171
-1.725 3.868 -1.173
0.035 0.056 5.670
Ni Ir Cu
6 1 1
direct
0.249 0.249 0.498
0.751 0.751 0.502
0.128 0.628 0.256
0.872 0.372 0.744
0.628 0.128 0.256
0.372 0.872 0.744
0.000 0.000 0.000
0.500 0.500 0.000
```

Values from the calculation:
ΔE_f in eV/atom: 0.0270

=====

No. 3
Here is a relaxed CuNiIr2 crystal from Alexandria. Energies are from PBE.

POSCAR file:
```
CuNiIr2
1.0
4.603 0.003 -0.009
3.804 2.592 -0.009
0.778 0.240 4.421
Ni Ir Cu
1 2 1
direct
0.503 0.503 0.515
0.997 0.997 0.018
0.250 0.250 0.236
0.751 0.751 0.732
```

Values from the calculation:
ΔE_f in eV/atom: 0.0643

=====

No. 4
Here is a relaxed Cu3NiIr crystal from Alexandria. Energies are from PBE.

POSCAR file:
```
Cu3NiIr
1.0
4.231 0.000 0.000
0.000 4.231 0.000
0.000 0.000 4.231
Ni Cu Ir
1 3 1
direct
0.000 0.000 0.000
0.000 0.000 0.500
0.500 0.000 0.000
0.000 0.500 0.000
0.500 0.500 0.500
```

Values from the calculation:
ΔE_f in eV/atom: 1.2119

=====

No. 5
Here is a relaxed CuNi6Ir3 crystal from Alexandria. Energies are from PBE.

POSCAR file:
```
CuNi6Ir3
1.0
5.224 0.000 0.000
0.000 6.293 -0.357
0.000 -1.538 7.494
Ir Cu Ni
6 2 12
direct
0.577 0.696 0.599
0.577 0.098 0.799
0.077 0.902 0.201
0.077 0.304 0.401
0.077 0.111 0.805
0.577 0.889 0.195
0.577 0.299 0.398
0.077 0.701 0.602
0.076 0.503 0.002
0.828 0.599 0.298
0.326 0.797 0.900
0.326 0.000 0.500
0.326 0.203 0.100
0.824 0.401 0.702
0.826 0.203 0.100
0.826 0.000 0.500
0.324 0.599 0.298
0.576 0.497 0.998
0.328 0.401 0.702
0.826 0.797 0.900
```

Values from the calculation:
ΔE_f in eV/atom: 0.0551

=====

No. 6
Here is a relaxed Cu2Ni6Ir crystal from Alexandria. Energies are from PBE.

POSCAR file:
```
Cu2Ni6Ir
1.0
-1.878 -1.606 0.575
5.305 -8.966 -2.127
1.102 -1.955 3.737
Ni Cu Ir
6 2 1
direct
0.283 0.390 0.044
0.717 0.610 0.956
0.432 0.721 0.415
0.131 0.065 0.672
0.568 0.279 0.585
0.869 0.935 0.328
0.850 0.175 0.126
0.150 0.825 0.874
0.000 0.500 0.500
```

Values from the calculation:
ΔE_f in eV/atom: 0.0885

=====

No. 7
Here is a relaxed CuNiIr2 crystal from Alexandria. Energies are from PBE.

POSCAR file:
```
CuNiIr2
1.0
-1.224 -1.550 -1.803
1.553 -2.057 0.714
-4.942 -1.975 5.055
Ir Ni Cu
2 1 1
direct
0.000 0.000 0.491
0.000 0.000 0.009
0.500 0.500 0.250
0.500 0.500 0.750
```

Values from the calculation:
ΔE_f in eV/atom: 0.1412

=====

No. 8
Here is a relaxed CuNiIr2 crystal from Alexandria. Energies are from PBE.

POSCAR file:
```
CuNiIr2
1.0
-8.351 -0.091 -2.005
-7.525 -2.139 -3.546
-8.141 -2.564 -0.959
Ni Cu Ir
1 1 2
direct
0.499 0.499 0.499
0.754 0.754 0.754
0.001 0.001 0.001
0.247 0.247 0.247
```

Values from the calculation:
ΔE_f in eV/atom: 0.0753

=====

No. 9
Here is a relaxed Cu4Ni4Ir crystal from Alexandria. Energies are from PBE.

POSCAR file:
```
Cu4Ni4Ir
1.0
-2.524 2.407 0.812
-4.492 -0.889 -3.432
-3.367 -2.234 4.052
Ni Ir Cu
4 1 4
direct
0.333 0.333 0.000
0.667 0.667 0.000
0.667 0.000 0.667
0.333 0.000 0.333
0.000 0.000 0.000
0.000 0.335 0.665
0.000 0.665 0.335
0.335 0.665 0.665
0.665 0.335 0.335
```

Values from the calculation:
ΔE_f in eV/atom: 0.0536

=====

No. 10
Here is a relaxed CuNi14Ir crystal from Alexandria. Energies are from PBE.

POSCAR file:
```
CuNi14Ir
1.0
5.023 -0.305 0.000
-2.249 4.502 0.000
0.000 0.000 8.214
Ni Ir Cu
14 1 1
direct
0.043 0.460 0.500
0.209 0.791 0.000
0.874 0.126 0.247
0.374 0.626 0.753
0.876 0.625 0.754
0.874 0.126 0.753
0.375 0.124 0.246
0.540 0.957 0.500
0.709 0.291 0.000
0.708 0.792 0.000
0.375 0.124 0.754
0.208 0.292 0.000
0.876 0.625 0.246
0.374 0.626 0.247
0.542 0.458 0.500
0.042 0.958 0.500
```

Values from the calculation:
ΔE_f in eV/atom: 0.0294

=====

> Among the records above, which one has the highest ΔE_f?

number 1

=====

> Which value of ΔE_f does entry 3 give?

0.0643 eV/atom